1.
Entry from Alexandria: crystalline CdAsBr2N at its relaxed geometry (GGA-PBE).

Magnetic moment ... 0.2604 μB/atom
Formation energy from raw total energies ... 1.182 eV per atom
Offset from the most stable computed form ... 321.5 meV per atom
E ... -11.3 eV for the cell shown

POSCAR file:
```
CdAsBr2N
1.0
5.501 0.000 0.000
0.000 5.501 0.000
0.000 0.000 5.427
Cd As Br N
1 1 2 1
Cartesian
0.000 0.000 0.000
0.000 0.000 2.714
0.000 2.750 0.000
2.750 0.000 0.000
2.750 2.750 2.714
```


2.
Entry from Alexandria: crystalline CdAs2BrN at its relaxed geometry (GGA-PBE).

Magnetic moment ... 0.0813 μB/atom
Formation energy from raw total energies ... 0.845 eV per atom
Offset from the most stable computed form ... 0.0 meV per atom
E ... -16.0 eV for the cell shown

POSCAR file:
```
CdAs2BrN
1.0
4.424 0.000 0.000
0.000 4.424 0.000
0.000 0.000 4.933
Cd As Br N
1 2 1 1
Cartesian
0.000 0.000 0.000
0.000 2.212 2.467
2.212 0.000 2.467
2.212 2.212 0.000
2.212 2.212 2.467
```


3.
Entry from Alexandria: crystalline NaCdAsBr2 at its relaxed geometry (GGA-PBE).

Magnetic moment ... 0.3998 μB/atom
Formation energy from raw total energies ... -0.311 eV per atom
Offset from the most stable computed form ... 0.0 meV per atom
E ... -11.8 eV for the cell shown

POSCAR file:
```
NaCdAsBr2
1.0
5.790 0.000 0.000
0.000 5.790 0.000
0.000 0.000 5.237
Na Cd As Br
1 1 1 2
Cartesian
0.000 0.000 0.000
2.895 2.895 2.619
2.895 2.895 0.000
0.000 2.895 2.619
2.895 0.000 2.619
```


4.
Entry from Alexandria: crystalline NaCdAs2Br at its relaxed geometry (GGA-PBE).

Magnetic moment ... 0.3282 μB/atom
Formation energy from raw total energies ... 0.179 eV per atom
Offset from the most stable computed form ... 0.0 meV per atom
E ... -12.3 eV for the cell shown

POSCAR file:
```
NaCdAs2Br
1.0
5.167 0.000 0.000
0.000 5.167 0.000
0.000 0.000 6.151
Na Cd As Br
1 1 2 1
Cartesian
0.000 0.000 0.000
2.584 2.584 3.076
0.000 2.584 3.076
2.584 0.000 3.076
2.584 2.584 0.000
```


5.
Entry from Alexandria: crystalline NaCdAsBr2 at its relaxed geometry (GGA-PBE).

Magnetic moment ... 0.4275 μB/atom
Formation energy from raw total energies ... 0.096 eV per atom
Offset from the most stable computed form ... 406.8 meV per atom
E ... -9.7 eV for the cell shown

POSCAR file:
```
NaCdAsBr2
1.0
5.349 0.000 0.000
0.000 5.349 0.000
0.000 0.000 5.745
Na Cd As Br
1 1 1 2
Cartesian
0.000 0.000 0.000
2.675 2.675 2.873
0.000 0.000 2.873
0.000 2.675 0.000
2.675 0.000 0.000
```


6.
Entry from Alexandria: crystalline NaCdAs2Br at its relaxed geometry (GGA-PBE).

Magnetic moment ... 0.3410 μB/atom
Formation energy from raw total energies ... 0.624 eV per atom
Offset from the most stable computed form ... 444.8 meV per atom
E ... -10.1 eV for the cell shown

POSCAR file:
```
NaCdAs2Br
1.0
5.265 0.000 0.000
0.000 5.265 0.000
0.000 0.000 5.268
Na Cd As Br
1 1 2 1
Cartesian
0.000 0.000 0.000
2.632 2.632 2.634
0.000 2.632 0.000
2.632 0.000 0.000
0.000 0.000 2.634
```


7.
Entry from Alexandria: crystalline NbCdAs2Br at its relaxed geometry (GGA-PBE).

Magnetic moment ... 0.0000 μB/atom
Formation energy from raw total energies ... 0.099 eV per atom
Offset from the most stable computed form ... 0.0 meV per atom
E ... -21.5 eV for the cell shown

POSCAR file:
```
NbCdAs2Br
1.0
5.030 0.000 0.000
0.000 5.030 0.000
0.000 0.000 5.326
Nb Cd As Br
1 1 2 1
Cartesian
0.000 0.000 0.000
2.515 2.515 2.663
0.000 2.515 0.000
2.515 0.000 0.000
0.000 0.000 2.663
```


8.
Entry from Alexandria: crystalline NbCdAs2Br at its relaxed geometry (GGA-PBE).

Magnetic moment ... 0.5528 μB/atom
Formation energy from raw total energies ... 1.334 eV per atom
Offset from the most stable computed form ... 1234.5 meV per atom
E ... -15.3 eV for the cell shown

POSCAR file:
```
NbCdAs2Br
1.0
5.102 0.000 0.000
0.000 5.102 0.000
0.000 0.000 5.137
Nb Cd As Br
1 1 2 1
Cartesian
0.000 0.000 0.000
2.551 2.551 0.000
0.000 2.551 2.568
2.551 0.000 2.568
2.551 2.551 2.568
```


9.
Entry from Alexandria: crystalline NbCdAs2Br at its relaxed geometry (GGA-PBE).

Magnetic moment ... 0.4666 μB/atom
Formation energy from raw total energies ... 1.100 eV per atom
Offset from the most stable computed form ... 1000.8 meV per atom
E ... -16.5 eV for the cell shown

POSCAR file:
```
NbCdAs2Br
1.0
5.035 0.000 0.000
0.000 5.035 0.000
0.000 0.000 5.446
Nb Cd As Br
1 1 2 1
Cartesian
0.000 0.000 0.000
2.518 2.518 2.723
0.000 2.518 2.723
2.518 0.000 2.723
2.518 2.518 0.000
```


10.
Entry from Alexandria: crystalline CdNiAs2Br at its relaxed geometry (GGA-PBE).

Magnetic moment ... 0.1982 μB/atom
Formation energy from raw total energies ... 0.303 eV per atom
Offset from the most stable computed form ... 0.0 meV per atom
E ... -16.2 eV for the cell shown

POSCAR file:
```
CdNiAs2Br
1.0
4.595 0.000 0.000
0.000 4.595 0.000
0.000 0.000 5.393
Cd Ni As Br
1 1 2 1
Cartesian
0.000 0.000 0.000
2.298 2.298 2.697
0.000 2.298 2.697
2.298 0.000 2.697
2.298 2.298 0.000
```


11.
Entry from Alexandria: crystalline CdNiAs2Br at its relaxed geometry (GGA-PBE).

Magnetic moment ... 0.5118 μB/atom
Formation energy from raw total energies ... 1.182 eV per atom
Offset from the most stable computed form ... 878.7 meV per atom
E ... -11.8 eV for the cell shown

POSCAR file:
```
CdNiAs2Br
1.0
5.147 0.000 0.000
0.000 5.147 0.000
0.000 0.000 5.561
Cd Ni As Br
1 1 2 1
Cartesian
0.000 0.000 0.000
2.574 2.574 2.781
0.000 2.574 0.000
2.574 0.000 0.000
0.000 0.000 2.781
```


12.
Entry from Alexandria: crystalline CdNiAsBr2 at its relaxed geometry (GGA-PBE).

Magnetic moment ... 0.5691 μB/atom
Formation energy from raw total energies ... 0.807 eV per atom
Offset from the most stable computed form ... 668.7 meV per atom
E ... -10.7 eV for the cell shown

POSCAR file:
```
CdNiAsBr2
1.0
5.480 0.000 0.000
0.000 5.480 0.000
0.000 0.000 5.317
Cd Ni As Br
1 1 1 2
Cartesian
0.000 0.000 0.000
2.740 2.740 2.658
0.000 0.000 2.658
0.000 2.740 0.000
2.740 0.000 0.000
```


13.
Entry from Alexandria: crystalline CdNiAsBr2 at its relaxed geometry (GGA-PBE).

Magnetic moment ... 0.1235 μB/atom
Formation energy from raw total energies ... 0.138 eV per atom
Offset from the most stable computed form ... 0.0 meV per atom
E ... -14.0 eV for the cell shown

POSCAR file:
```
CdNiAsBr2
1.0
5.034 0.000 0.000
0.000 5.034 0.000
0.000 0.000 4.695
Cd Ni As Br
1 1 1 2
Cartesian
0.000 0.000 0.000
2.517 2.517 2.347
2.517 2.517 0.000
0.000 2.517 2.347
2.517 0.000 2.347
```


14.
Entry from Alexandria: crystalline CdAs2BrO at its relaxed geometry (GGA-PBE).

Magnetic moment ... 0.6736 μB/atom
Formation energy from raw total energies ... 1.159 eV per atom
Offset from the most stable computed form ... 1061.9 meV per atom
E ... -11.0 eV for the cell shown

POSCAR file:
```
CdAs2BrO
1.0
5.217 0.000 0.000
0.000 5.217 0.000
0.000 0.000 5.653
Cd As Br O
1 2 1 1
Cartesian
0.000 0.000 0.000
0.000 2.609 0.000
2.609 0.000 0.000
0.000 0.000 2.827
2.609 2.609 2.827
```


15.
Entry from Alexandria: crystalline Cd2AsBrO4 at its relaxed geometry (GGA-PBE).

Magnetic moment ... 0.0000 μB/atom
Formation energy from raw total energies ... -0.874 eV per atom
E ... -35.0 eV for the cell shown

POSCAR file:
```
Cd2AsBrO4
1.0
4.891 -1.592 0.000
4.891 1.592 0.000
-3.763 0.000 8.128
Cd As Br O
2 1 1 4
Cartesian
0.776 0.000 2.230
5.243 0.000 5.899
-1.881 0.000 4.064
4.891 0.000 0.000
-1.249 0.000 5.715
1.789 0.000 4.513
4.229 0.000 3.615
7.267 0.000 2.414
```


16.
Entry from Alexandria: crystalline CdAs2BrO at its relaxed geometry (GGA-PBE).

Magnetic moment ... 0.0000 μB/atom
Formation energy from raw total energies ... 0.097 eV per atom
Offset from the most stable computed form ... 0.0 meV per atom
E ... -16.4 eV for the cell shown

POSCAR file:
```
CdAs2BrO
1.0
4.162 0.000 0.000
0.000 4.162 0.000
0.000 0.000 6.656
Cd As Br O
1 2 1 1
Cartesian
0.000 0.000 0.000
0.000 2.081 3.328
2.081 0.000 3.328
2.081 2.081 0.000
2.081 2.081 3.328
```


17.
Entry from Alexandria: crystalline CdAsOsBr2 at its relaxed geometry (GGA-PBE).

Magnetic moment ... 0.0032 μB/atom
Formation energy from raw total energies ... 0.433 eV per atom
Offset from the most stable computed form ... 0.0 meV per atom
E ... -18.0 eV for the cell shown

POSCAR file:
```
CdAsOsBr2
1.0
5.283 0.000 0.000
0.000 5.283 0.000
0.000 0.000 4.697
Cd As Os Br
1 1 1 2
Cartesian
0.000 0.000 0.000
2.642 2.642 0.000
2.642 2.642 2.348
0.000 2.642 2.348
2.642 0.000 2.348
```


18.
Entry from Alexandria: crystalline CdAsOsBr2 at its relaxed geometry (GGA-PBE).

Magnetic moment ... 0.6257 μB/atom
Formation energy from raw total energies ... 1.443 eV per atom
Offset from the most stable computed form ... 1010.0 meV per atom
E ... -12.9 eV for the cell shown

POSCAR file:
```
CdAsOsBr2
1.0
5.316 0.000 0.000
0.000 5.316 0.000
0.000 0.000 5.460
Cd As Os Br
1 1 1 2
Cartesian
0.000 0.000 0.000
0.000 0.000 2.730
2.658 2.658 2.730
0.000 2.658 0.000
2.658 0.000 0.000
```


19.
Entry from Alexandria: crystalline CdAsPBr2 at its relaxed geometry (GGA-PBE).

Magnetic moment ... 0.1536 μB/atom
Formation energy from raw total energies ... 0.731 eV per atom
Offset from the most stable computed form ... 442.9 meV per atom
E ... -10.7 eV for the cell shown

POSCAR file:
```
CdAsPBr2
1.0
5.329 0.000 0.000
0.000 5.329 0.000
0.000 0.000 5.568
Cd As P Br
1 1 1 2
Cartesian
0.000 0.000 0.000
0.000 0.000 2.784
2.665 2.665 2.784
0.000 2.665 0.000
2.665 0.000 0.000
```


20.
Entry from Alexandria: crystalline CdAsPBr2 at its relaxed geometry (GGA-PBE).

Magnetic moment ... 0.0000 μB/atom
Formation energy from raw total energies ... 0.288 eV per atom
Offset from the most stable computed form ... 0.0 meV per atom
E ... -12.9 eV for the cell shown

POSCAR file:
```
CdAsPBr2
1.0
5.081 0.000 0.000
0.000 5.081 0.000
0.000 0.000 5.048
Cd As P Br
1 1 1 2
Cartesian
0.000 0.000 0.000
2.540 2.540 0.000
2.540 2.540 2.524
0.000 2.540 2.524
2.540 0.000 2.524
```


21.
Entry from Alexandria: crystalline CdAs2PbBr at its relaxed geometry (GGA-PBE).

Magnetic moment ... 0.1529 μB/atom
Formation energy from raw total energies ... 0.399 eV per atom
Offset from the most stable computed form ... 0.0 meV per atom
E ... -13.6 eV for the cell shown

POSCAR file:
```
CdAs2PbBr
1.0
5.138 0.000 0.000
0.000 5.138 0.000
0.000 0.000 5.718
Cd As Pb Br
1 2 1 1
Cartesian
0.000 0.000 0.000
0.000 2.569 0.000
2.569 0.000 0.000
2.569 2.569 2.859
0.000 0.000 2.859
```


22.
Entry from Alexandria: crystalline CdAs2PdBr at its relaxed geometry (GGA-PBE).

Magnetic moment ... 0.2462 μB/atom
Formation energy from raw total energies ... 0.351 eV per atom
Offset from the most stable computed form ... 0.0 meV per atom
E ... -15.3 eV for the cell shown

POSCAR file:
```
CdAs2PdBr
1.0
4.906 0.000 0.000
0.000 4.906 0.000
0.000 0.000 5.327
Cd As Pd Br
1 2 1 1
Cartesian
0.000 0.000 0.000
0.000 2.453 2.664
2.453 0.000 2.664
2.453 2.453 2.664
2.453 2.453 0.000
```


23.
Entry from Alexandria: crystalline CdAsPdBr2 at its relaxed geometry (GGA-PBE).

Magnetic moment ... 0.1711 μB/atom
Formation energy from raw total energies ... 0.121 eV per atom
Offset from the most stable computed form ... 0.0 meV per atom
E ... -13.5 eV for the cell shown

POSCAR file:
```
CdAsPdBr2
1.0
5.195 0.000 0.000
0.000 5.195 0.000
0.000 0.000 4.971
Cd As Pd Br
1 1 1 2
Cartesian
0.000 0.000 0.000
2.598 2.598 0.000
2.598 2.598 2.486
0.000 2.598 2.486
2.598 0.000 2.486
```


24.
Entry from Alexandria: crystalline RbCdAs2Br at its relaxed geometry (GGA-PBE).

Magnetic moment ... 0.3351 μB/atom
Formation energy from raw total energies ... -0.016 eV per atom
Offset from the most stable computed form ... 0.0 meV per atom
E ... -12.9 eV for the cell shown

POSCAR file:
```
RbCdAs2Br
1.0
5.218 0.000 0.000
0.000 5.218 0.000
0.000 0.000 6.395
Rb Cd As Br
1 1 2 1
Cartesian
0.000 0.000 0.000
2.609 2.609 3.198
0.000 2.609 3.198
2.609 0.000 3.198
2.609 2.609 0.000
```


25.
Entry from Alexandria: crystalline RbCdAsBr2 at its relaxed geometry (GGA-PBE).

Magnetic moment ... 0.5167 μB/atom
Formation energy from raw total energies ... 0.247 eV per atom
Offset from the most stable computed form ... 790.5 meV per atom
E ... -8.6 eV for the cell shown

POSCAR file:
```
RbCdAsBr2
1.0
6.419 0.000 0.000
0.000 6.419 0.000
0.000 0.000 6.841
Rb Cd As Br
1 1 1 2
Cartesian
0.000 0.000 0.000
3.210 3.210 3.420
0.000 0.000 3.420
0.000 3.210 0.000
3.210 0.000 0.000
```


26.
Entry from Alexandria: crystalline RbCdAs2Br at its relaxed geometry (GGA-PBE).

Magnetic moment ... 1.1837 μB/atom
Formation energy from raw total energies ... 0.769 eV per atom
Offset from the most stable computed form ... 785.6 meV per atom
E ... -9.0 eV for the cell shown

POSCAR file:
```
RbCdAs2Br
1.0
7.487 0.000 0.000
0.000 7.487 0.000
0.000 0.000 6.298
Rb Cd As Br
1 1 2 1
Cartesian
0.000 0.000 0.000
3.744 3.744 3.149
0.000 3.744 0.000
3.744 0.000 0.000
0.000 0.000 3.149
```


27.
Entry from Alexandria: crystalline RbCdAsBr2 at its relaxed geometry (GGA-PBE).

Magnetic moment ... 0.4011 μB/atom
Formation energy from raw total energies ... -0.544 eV per atom
Offset from the most stable computed form ... 0.0 meV per atom
E ... -12.6 eV for the cell shown

POSCAR file:
```
RbCdAsBr2
1.0
5.882 0.000 0.000
0.000 5.882 0.000
0.000 0.000 5.277
Rb Cd As Br
1 1 1 2
Cartesian
0.000 0.000 0.000
2.941 2.941 2.639
2.941 2.941 0.000
0.000 2.941 2.639
2.941 0.000 2.639
```


28.
Entry from Alexandria: crystalline CdAsRhBr2 at its relaxed geometry (GGA-PBE).

Magnetic moment ... 0.0000 μB/atom
Formation energy from raw total energies ... 0.083 eV per atom
Offset from the most stable computed form ... 0.0 meV per atom
E ... -15.8 eV for the cell shown

POSCAR file:
```
CdAsRhBr2
1.0
5.277 0.000 0.000
0.000 5.277 0.000
0.000 0.000 4.694
Cd As Rh Br
1 1 1 2
Cartesian
0.000 0.000 0.000
2.639 2.639 0.000
2.639 2.639 2.347
0.000 2.639 2.347
2.639 0.000 2.347
```


29.
Entry from Alexandria: crystalline CdAsRhBr2 at its relaxed geometry (GGA-PBE).

Magnetic moment ... 0.6531 μB/atom
Formation energy from raw total energies ... 0.896 eV per atom
Offset from the most stable computed form ... 813.6 meV per atom
E ... -11.8 eV for the cell shown

POSCAR file:
```
CdAsRhBr2
1.0
5.426 0.000 0.000
0.000 5.426 0.000
0.000 0.000 5.276
Cd As Rh Br
1 1 1 2
Cartesian
0.000 0.000 0.000
0.000 0.000 2.638
2.713 2.713 2.638
0.000 2.713 0.000
2.713 0.000 0.000
```